Here is a relaxed structure of Ho3GaSeCl from Alexandria via LeMat-Bulk. Energies are from PBE-GGA.

a b c (Å): 3.8622 8.6145 11.0121
angles (deg): 123.78 90.00 90.00
Closest atoms and distances in Å follow each position.
Positions (direct):
Cl 0.7500 0.8212 0.4478  3 Ho 2.68-2.75
Ga 0.7500 0.7122 0.7605  8 Ho 3.04-3.19
Ho 0.7500 0.3268 0.4779  2 Cl 2.68
Cl 0.2500 0.1788 0.5522  3 Ho 2.68-2.75
Ho 0.2500 0.6732 0.5221  2 Cl 2.68
Ho 0.2500 0.4973 0.8297  1 Cl 2.75, 3 Se 2.86-2.89, 2 Ga 3.05
Ho 0.7500 0.9341 0.0953  2 Se 2.84, 1 Ga 3.07
Se 0.2500 0.7311 0.1423  5 Ho 2.84-2.89
Ho 0.7500 0.5027 0.1703  1 Cl 2.75, 3 Se 2.86-2.89, 2 Ga 3.05
Se 0.7500 0.2689 0.8577  5 Ho 2.84-2.89
Ga 0.2500 0.2878 0.2395  8 Ho 3.04-3.19
Ho 0.2500 0.0659 0.9047  2 Se 2.84, 1 Ga 3.07

Results
Spin magnetization in μB/f.u.: 0.000
Total DFT energy (no corrections) in eV per cell: -58.9
N(E_F) in states/eV/cell: 7.3
SG: P2_1/m, No. 11
Formation energy without anion corrections in eV/atom: -1.224